Entry a
Computed, not measured: SmDyS3 after structural relaxation at the PBE-GGA level of DFT.

## Properties
Crystal system: monoclinic
Symmetry: No. 11
Total magnetization: 0.0 μB per formula unit

Structure (CIF):
```
data_SmDyS3
_chemical_formula_sum 'Sm2 Dy2 S6'
_cell_length_a 3.937
_cell_length_b 7.833
_cell_length_c 7.818
_cell_angle_alpha 94.38
_cell_angle_beta 90.00
_cell_angle_gamma 90.00
_space_group_name_H-M_alt 'P 1'
_space_group_IT_number 1
_space_group_name_Hall 'P 1'
loop_
_atom_site_label
_atom_site_type_symbol
_atom_site_fract_x
_atom_site_fract_y
_atom_site_fract_z
Sm1 Sm 0.250 0.380 0.231
Sm2 Sm 0.750 0.620 0.769
Dy1 Dy 0.250 0.854 0.320
Dy2 Dy 0.750 0.146 0.680
S1 S 0.750 0.624 0.386
S2 S 0.250 0.376 0.614
S3 S 0.750 0.321 0.980
S4 S 0.250 0.899 0.679
S5 S 0.250 0.679 0.020
S6 S 0.750 0.101 0.321
```

=====

Entry b
Computed, not measured: SmDyS3 after structural relaxation at the PBE-GGA level of DFT.

## Properties
Crystal system: orthorhombic
Symmetry: No. 62
Total magnetization: 0.0 μB per formula unit

Structure (CIF):
```
data_SmDyS3
_chemical_formula_sum 'Sm4 Dy4 S12'
_cell_length_a 3.955
_cell_length_b 7.366
_cell_length_c 15.333
_cell_angle_alpha 90.00
_cell_angle_beta 90.00
_cell_angle_gamma 90.00
_space_group_name_H-M_alt 'P 1'
_space_group_IT_number 1
_space_group_name_Hall 'P 1'
loop_
_atom_site_label
_atom_site_type_symbol
_atom_site_fract_x
_atom_site_fract_y
_atom_site_fract_z
Sm1 Sm 0.750 0.857 0.798
Sm2 Sm 0.250 0.143 0.202
Sm3 Sm 0.750 0.357 0.702
Sm4 Sm 0.250 0.643 0.298
Dy1 Dy 0.250 0.268 0.957
Dy2 Dy 0.250 0.768 0.543
Dy3 Dy 0.750 0.232 0.457
Dy4 Dy 0.750 0.732 0.043
S1 S 0.250 0.376 0.564
S2 S 0.750 0.851 0.217
S3 S 0.750 0.489 0.894
S4 S 0.750 0.989 0.606
S5 S 0.750 0.624 0.436
S6 S 0.250 0.011 0.394
S7 S 0.250 0.876 0.936
S8 S 0.750 0.351 0.283
S9 S 0.250 0.649 0.717
S10 S 0.250 0.149 0.783
S11 S 0.750 0.124 0.064
S12 S 0.250 0.511 0.106
```

=====

Verdict on stability: entry a comes out at the bottom.

=====

Entry a
Computed, not measured: SmDyS2 after structural relaxation at the PBE-GGA level of DFT.

## Properties
Crystal system: trigonal
Symmetry: No. 160
Total magnetization: 0.0 μB per formula unit

Structure (CIF):
```
data_SmDyS2
_chemical_formula_sum 'Sm1 Dy1 S2'
_cell_length_a 3.866
_cell_length_b 3.866
_cell_length_c 7.231
_cell_angle_alpha 74.50
_cell_angle_beta 74.50
_cell_angle_gamma 60.00
_space_group_name_H-M_alt 'P 1'
_space_group_IT_number 1
_space_group_name_Hall 'P 1'
loop_
_atom_site_label
_atom_site_type_symbol
_atom_site_fract_x
_atom_site_fract_y
_atom_site_fract_z
Sm1 Sm 0.673 0.673 0.982
Dy1 Dy 0.494 0.494 0.517
S1 S 0.085 0.085 0.746
S2 S 0.249 0.249 0.254
```

=====

Entry b
Computed, not measured: SmDyS2 after structural relaxation at the PBE-GGA level of DFT.

## Properties
Crystal system: monoclinic
Symmetry: No. 12
Total magnetization: 0.0 μB per formula unit

Structure (CIF):
```
data_SmDyS2
_chemical_formula_sum 'Sm1 Dy1 S2'
_cell_length_a 3.950
_cell_length_b 3.950
_cell_length_c 6.869
_cell_angle_alpha 73.19
_cell_angle_beta 73.19
_cell_angle_gamma 60.18
_space_group_name_H-M_alt 'P 1'
_space_group_IT_number 1
_space_group_name_Hall 'P 1'
loop_
_atom_site_label
_atom_site_type_symbol
_atom_site_fract_x
_atom_site_fract_y
_atom_site_fract_z
Sm1 Sm 0.500 0.500 0.500
Dy1 Dy 0.000 0.000 0.000
S1 S 0.747 0.747 0.760
S2 S 0.253 0.253 0.240
```

=====

Verdict on stability: entry a comes out at the bottom.